FeSbF3: relaxed, PBE+U.

Output
- raw total energy (eV per atom) = -4.35
- V (Å³ per cell) = 74.2
- symmetry = Pm-3m, No. 221

Lattice parameters (Å, degrees): 4.2014 4.2014 4.2014 90.00 90.00 90.00
With the nearest neighbours (Å) after each atom.
Element x y z (fractional)
Sb1 0.5000 0.5000 0.5000  12 F 2.97
Fe1 0.0000 0.0000 0.0000  6 F 2.10
F1 0.0000 0.5000 0.0000  2 Fe 2.10
F2 0.0000 0.0000 0.5000  2 Fe 2.10
F3 0.5000 0.0000 0.0000  2 Fe 2.10